(1)
Gd2UCo after structural relaxation, computed with PBE.

a b c (Å): 10.4393 10.4393 10.4393
angles (deg): 17.96 17.96 17.96
Sites, in units of the cell vectors:
Gd: 0.1042 0.1042 0.1042
Gd: 0.8958 0.8958 0.8958
U: 0.0000 0.0000 0.0000
Co: 0.5000 0.5000 0.5000

Summary:
VASP energy = -11.161 eV per atom
Magnetic moment = 12.275 μB/cell

(2)
GdYCo after structural relaxation, computed with PBE.

a b c (Å): 3.8818 3.8818 6.2393
angles (deg): 90.00 90.00 120.00
Sites, in units of the cell vectors:
Gd: 0.0000 0.0000 0.0000
Y: 0.6667 0.3333 0.5339
Co: 0.3333 0.6667 0.7700

Summary:
VASP energy = -9.267 eV per atom
Magnetic moment = 7.311 μB/cell

(3)
GdYCo after structural relaxation, computed with PBE.

a b c (Å): 4.7153 4.7153 4.7153
angles (deg): 60.00 60.00 60.00
Sites, in units of the cell vectors:
Gd: 0.0000 0.0000 0.0000
Y: 0.5000 0.5000 0.5000
Co: 0.7500 0.7500 0.7500

Summary:
VASP energy = -9.249 eV per atom
Magnetic moment = 7.443 μB/cell

(4)
GdYCo after structural relaxation, computed with PBE.

a b c (Å): 6.8192 6.8192 6.8192
angles (deg): 151.24 151.24 41.12
Sites, in units of the cell vectors:
Gd: 0.0000 0.0000 0.0000
Y: 0.7447 0.7447 0.0000
Co: 0.3723 0.3723 0.0000

Summary:
VASP energy = -9.310 eV per atom
Magnetic moment = 6.428 μB/cell

(5)
GdYCo2 after structural relaxation, computed with PBE.

a b c (Å): 4.7545 4.7545 3.3739
angles (deg): 90.00 90.00 90.00
Sites, in units of the cell vectors:
Gd: 0.0000 0.0000 0.0000
Y: 0.5000 0.5000 0.0000
Co: 0.0000 0.5000 0.5000
Co: 0.5000 0.0000 0.5000

Summary:
VASP energy = -8.803 eV per atom
Magnetic moment = 6.260 μB/cell

(6)
GdY2Co after structural relaxation, computed with PBE.

a b c (Å): 3.4177 3.4177 8.9170
angles (deg): 90.00 90.00 90.00
Sites, in units of the cell vectors:
Gd: 0.0000 0.0000 0.0000
Y: 0.5000 0.5000 0.3188
Y: 0.5000 0.5000 0.6812
Co: 0.0000 0.0000 0.5000

Summary:
VASP energy = -8.567 eV per atom
Magnetic moment = 7.189 μB/cell

(7)
GdYZnCo after structural relaxation, computed with PBE.

a b c (Å): 4.9163 4.9163 4.9163
angles (deg): 60.00 60.00 60.00
Sites, in units of the cell vectors:
Gd: 0.0000 0.0000 0.0000
Y: 0.5000 0.5000 0.5000
Zn: 0.7500 0.7500 0.7500
Co: 0.2500 0.2500 0.2500

Summary:
VASP energy = -7.440 eV per atom
Magnetic moment = 6.793 μB/cell

(8)
Gd2ZnCo after structural relaxation, computed with PBE.

a b c (Å): 4.9380 4.9380 4.9380
angles (deg): 60.00 60.00 60.00
Sites, in units of the cell vectors:
Gd: 0.2500 0.2500 0.2500
Gd: 0.7500 0.7500 0.7500
Zn: 0.0000 0.0000 0.0000
Co: 0.5000 0.5000 0.5000

Summary:
VASP energy = -9.335 eV per atom
Magnetic moment = 13.758 μB/cell

(9)
GdZnCo after structural relaxation, computed with PBE.

a b c (Å): 4.2157 4.2157 3.6852
angles (deg): 90.00 90.00 120.00
Sites, in units of the cell vectors:
Gd: 0.0000 0.0000 0.0000
Zn: 0.6667 0.3333 0.5000
Co: 0.3333 0.6667 0.5000

Summary:
VASP energy = -7.665 eV per atom
Magnetic moment = 6.796 μB/cell

(10)
Gd2ZnCo after structural relaxation, computed with PBE.

a b c (Å): 9.5817 9.5817 9.5817
angles (deg): 22.95 22.95 22.95
Sites, in units of the cell vectors:
Gd: 0.1137 0.1137 0.1137
Gd: 0.8863 0.8863 0.8863
Zn: 0.0000 0.0000 0.0000
Co: 0.5000 0.5000 0.5000

Summary:
VASP energy = -8.983 eV per atom
Magnetic moment = 14.505 μB/cell

(11)
Gd2ZnCo after structural relaxation, computed with PBE.

a b c (Å): 3.4498 3.4498 7.1990
angles (deg): 90.00 90.00 90.00
Sites, in units of the cell vectors:
Gd: 0.0000 0.0000 0.2300
Gd: 0.0000 0.0000 0.7700
Zn: 0.5000 0.5000 0.5000
Co: 0.5000 0.5000 0.0000

Summary:
VASP energy = -9.363 eV per atom
Magnetic moment = 13.733 μB/cell

(12)
GdZn2Co after structural relaxation, computed with PBE.

a b c (Å): 5.4998 5.4998 5.4998
angles (deg): 44.27 44.27 44.27
Sites, in units of the cell vectors:
Gd: 0.0000 0.0000 0.0000
Zn: 0.2057 0.2057 0.2057
Zn: 0.7943 0.7943 0.7943
Co: 0.5000 0.5000 0.5000

Summary:
VASP energy = -6.071 eV per atom
Magnetic moment = 7.329 μB/cell

Here are the calculated DOS at the Fermi energy numbers, same order: 6.49 2.77 2.93 2.35 1.41 5.28 2.92 3.17 2.56 3.02 3.03 3.36 (states/eV/cell).